This record from the Alexandria database describes Co5Rh after structural relaxation. The functional is PBE.

```
Co5Rh
1.0
4.383 0.000 0.000
0.000 2.567 0.000
-0.072 0.000 6.201
Co Rh
5 1
Direct
0.000 0.000 0.000
0.159 0.500 0.336
0.329 0.000 0.656
0.671 0.000 0.344
0.841 0.500 0.664
0.500 0.500 0.000
```

Summary:
Its space group is P2/m (10).

This record from the Alexandria database describes TlGa2Pd after structural relaxation. The functional is PBE.

```
TlGa2Pd
1.0
3.209 0.000 0.000
0.000 3.209 0.000
0.000 0.000 7.947
Tl Ga Pd
1 2 1
Direct
0.000 0.000 0.000
0.500 0.500 0.314
0.500 0.500 0.686
0.000 0.000 0.500
```

Summary:
Its space group is P4/mmm (123). As for the polymorph energy (0 for the lowest one): 0 kJ/mol of formula units.

no.,formation energy (eV per atom)
1,0.0465
2,-0.1879